[1]
Computed, not measured: crystalline BaNaLa at its relaxed geometry at the PBE level of DFT.

Results
The calculation puts the distance to the lowest polymorph of the same formula at 0.000 eV per atom. Its calculated formation energy is 67 meV/atom. As for the space group: P4/nmm.

Cell lengths 4.0550, 4.0550, 16.0586 Å; angles 90.00, 90.00, 90.00 degrees
Sites, in units of the cell vectors:
Ba: 0.2500 0.2500 0.2420
Ba: 0.7500 0.7500 0.7580
Na: 0.2500 0.2500 0.9369
Na: 0.7500 0.7500 0.0631
La: 0.2500 0.2500 0.5703
La: 0.7500 0.7500 0.4297



[2]
Computed, not measured: crystalline Y4MgAg2Au at its relaxed geometry at the PBE level of DFT.

Results
Its calculated formation energy is -406 meV/atom. As for the space group: R-3m.

Cell lengths 9.0410, 9.0410, 9.0410 Å; angles 33.23, 33.23, 33.23 degrees
Sites, in units of the cell vectors:
Y: 0.1187 0.1187 0.1187
Y: 0.3705 0.3705 0.3705
Y: 0.6295 0.6295 0.6295
Y: 0.8813 0.8813 0.8813
Mg: 0.5000 0.5000 0.5000
Ag: 0.2394 0.2394 0.2394
Ag: 0.7606 0.7606 0.7606
Au: 0.0000 0.0000 0.0000



[3]
Computed, not measured: crystalline CaY2Bi2 at its relaxed geometry at the PBE level of DFT.

Results
The calculation puts the distance to the lowest polymorph of the same formula at 0.000 eV per atom. Its calculated formation energy is -744 meV/atom. As for the space group: P4/mbm.

Cell lengths 8.5285, 8.5285, 4.2543 Å; angles 90.00, 90.00, 90.00 degrees
Sites, in units of the cell vectors:
Ca: 0.0000 0.0000 0.0000
Ca: 0.5000 0.5000 0.0000
Y: 0.1527 0.3473 0.5000
Y: 0.3473 0.8473 0.5000
Y: 0.6527 0.1527 0.5000
Y: 0.8473 0.6527 0.5000
Bi: 0.1492 0.6492 0.0000
Bi: 0.3508 0.1492 0.0000
Bi: 0.6492 0.8508 0.0000
Bi: 0.8508 0.3508 0.0000



[4]
Computed, not measured: crystalline NaAcTmAl at its relaxed geometry at the PBE level of DFT.

Results
Its calculated formation energy is 15 meV/atom. As for the space group: F-43m.

Cell lengths 7.7876, 7.7876, 7.7876 Å; angles 90.00, 90.00, 90.00 degrees
Sites, in units of the cell vectors:
Na: 0.0000 0.0000 0.0000
Na: 0.0000 0.5000 0.5000
Na: 0.5000 0.0000 0.5000
Na: 0.5000 0.5000 0.0000
Ac: 0.2500 0.2500 0.2500
Ac: 0.2500 0.7500 0.7500
Ac: 0.7500 0.2500 0.7500
Ac: 0.7500 0.7500 0.2500
Tm: 0.2500 0.2500 0.7500
Tm: 0.2500 0.7500 0.2500
Tm: 0.7500 0.2500 0.2500
Tm: 0.7500 0.7500 0.7500
Al: 0.0000 0.0000 0.5000
Al: 0.0000 0.5000 0.0000
Al: 0.5000 0.0000 0.0000
Al: 0.5000 0.5000 0.5000



[5]
Computed, not measured: crystalline CrTe4Br at its relaxed geometry at the PBE level of DFT.

Results
The calculation puts the distance to the lowest polymorph of the same formula at 0.000 eV per atom. As for the formation energy from raw total energies: -0.026 eV per atom. As for the space group: C2/m.

Cell lengths 9.0064, 9.0064, 6.3866 Å; angles 94.72, 94.72, 49.57 degrees
Sites, in units of the cell vectors:
Cr: 0.0235 0.0235 0.2074
Cr: 0.9765 0.9765 0.7926
Te: 0.1328 0.6710 0.0418
Te: 0.1910 0.1910 0.2527
Te: 0.2385 0.7615 0.5000
Te: 0.3290 0.8672 0.9582
Te: 0.6710 0.1328 0.0418
Te: 0.7615 0.2385 0.5000
Te: 0.8090 0.8090 0.7473
Te: 0.8672 0.3290 0.9582
Br: 0.2857 0.2857 0.6569
Br: 0.7143 0.7143 0.3431



[6]
Computed, not measured: crystalline Na2In4Sn at its relaxed geometry at the PBE level of DFT.

Results
The calculation puts the distance to the lowest polymorph of the same formula at 0.000 eV per atom. Its calculated formation energy is -43 meV/atom. As for the space group: Fd-3m.

Cell lengths 10.4487, 10.4487, 10.4487 Å; angles 60.00, 60.00, 60.00 degrees
Sites, in units of the cell vectors:
Na: 0.1956 0.7681 0.7681
Na: 0.2319 0.2319 0.2319
Na: 0.2319 0.2319 0.8044
Na: 0.2319 0.8044 0.2319
Na: 0.7681 0.1956 0.7681
Na: 0.7681 0.7681 0.1956
Na: 0.7681 0.7681 0.7681
Na: 0.8044 0.2319 0.2319
In: 0.0000 0.0000 0.0000
In: 0.0000 0.0000 0.5000
In: 0.0000 0.5000 0.0000
In: 0.1359 0.1359 0.6141
In: 0.1359 0.6141 0.1359
In: 0.1359 0.6141 0.6141
In: 0.3859 0.3859 0.8641
In: 0.3859 0.8641 0.3859
In: 0.3859 0.8641 0.8641
In: 0.5000 0.0000 0.0000
In: 0.6141 0.1359 0.1359
In: 0.6141 0.1359 0.6141
In: 0.6141 0.6141 0.1359
In: 0.8641 0.3859 0.3859
In: 0.8641 0.3859 0.8641
In: 0.8641 0.8641 0.3859
Sn: 0.0000 0.5000 0.5000
Sn: 0.5000 0.0000 0.5000
Sn: 0.5000 0.5000 0.0000
Sn: 0.5000 0.5000 0.5000